Material: Tb3YP
Method: DFT, PBE
State: optimized geometry

Energy relative to the elements in eV per atom: -0.417
Electronic total energy in eV/atom: -5.570
Calculated volume in Å³/atom: 31.606
SG: Pm-3m

Cell and atoms, written as POSCAR:
```
Tb3YP
1.0
5.406 0.000 0.000
0.000 5.406 0.000
0.000 0.000 5.406
Tb P Y
3 1 1
direct
0.500 0.000 0.000
0.000 0.500 0.000
0.000 0.000 0.500
0.000 0.000 0.000
0.500 0.500 0.500
```

***

Material: HoEr2NpSb4
Method: DFT, PBE
State: optimized geometry

Electronic total energy in eV/atom: -6.257
Calculated volume in Å³/atom: 29.489
SG: P2/m

Cell and atoms, written as POSCAR:
```
HoEr2NpSb4
1.0
4.367 0.000 0.000
0.000 7.566 0.140
0.000 -2.635 7.092
Sb Ho Er Np
4 1 2 1
direct
0.500 0.252 0.253
0.000 0.250 0.749
0.000 0.750 0.251
0.500 0.748 0.747
0.500 0.500 0.000
0.500 0.000 0.500
0.000 0.500 0.500
0.000 0.000 0.000
```

***

Material: CdRu2W
Method: DFT, PBE
State: optimized geometry

Energy relative to the elements in eV per atom: 0.352
Electronic total energy in eV/atom: -7.753
Calculated volume in Å³/atom: 16.041
SG: Pmm2

Cell and atoms, written as POSCAR:
```
CdRu2W
1.0
2.809 0.000 0.000
0.000 4.089 0.000
0.000 0.000 5.586
W Cd Ru
1 1 2
direct
0.000 0.000 0.458
0.500 0.500 0.762
0.000 0.000 0.017
0.500 0.500 0.263
```

***

Material: Na2Tl2O
Method: DFT, PBE
State: optimized geometry

Electronic total energy in eV/atom: -2.648
Calculated volume in Å³/atom: 25.960
SG: P4/mbm
Energy above the lowest structure with this stoichiometry in kJ per mole of atoms: 22.3

Cell and atoms, written as POSCAR:
```
Na2Tl2O
1.0
6.888 0.000 0.000
0.000 6.888 0.000
0.000 0.000 5.472
Na Tl O
4 4 2
direct
0.332 0.168 0.500
0.168 0.668 0.500
0.832 0.332 0.500
0.668 0.832 0.500
0.162 0.338 0.000
0.662 0.162 0.000
0.338 0.838 0.000
0.838 0.662 0.000
0.000 0.000 0.000
0.500 0.500 0.000
```

***

Material: La3Y4
Method: DFT, PBE
State: optimized geometry

Energy relative to the elements in eV per atom: 0.216
Electronic total energy in eV/atom: -5.589
Calculated volume in Å³/atom: 34.629
SG: P6/mmm
Energy above the lowest structure with this stoichiometry in kJ per mole of atoms: 18.1

Cell and atoms, written as POSCAR:
```
La3Y4
1.0
-5.386 3.706 -0.833
-0.427 -6.566 -0.381
-1.178 -0.290 6.328
Y La
4 3
direct
0.000 0.000 0.262
0.000 0.000 0.738
0.333 0.667 0.500
0.667 0.333 0.500
0.500 0.000 0.000
0.000 0.500 0.000
0.500 0.500 0.000
```

***

Material: CsTmFe2Cl8
Method: DFT, PBE
State: optimized geometry

Electronic total energy in eV/atom: -4.512
Calculated volume in Å³/atom: 33.053
SG: C2/m

Cell and atoms, written as POSCAR:
```
CsTmFe2Cl8
1.0
-1.684 -5.734 -2.564
-0.937 -4.505 4.596
-10.021 1.483 0.792
Cl Tm Fe Cs
8 1 2 1
direct
0.234 0.739 0.189
0.766 0.261 0.811
0.739 0.234 0.189
0.685 0.685 0.403
0.315 0.315 0.597
0.757 0.757 0.010
0.243 0.243 0.990
0.261 0.766 0.811
0.000 0.000 0.000
0.620 0.620 0.203
0.380 0.380 0.797
0.000 0.000 0.500
```